A plane-wave DFT calculation with PBE was carried out for a geometry-optimized LiRe2SbMo structure.

## Properties
The uncorrected formation energy comes out at 1627 meV per atom.

Structure (POSCAR):
```
LiRe2SbMo
1.0
-0.702 -4.679 0.782
4.644 -0.325 2.228
-1.970 1.007 4.254
Li Sb Re Mo
1 1 2 1
Direct
0.500 0.500 0.500
0.000 0.500 0.000
0.000 0.000 0.500
0.500 0.000 0.000
0.000 0.000 0.000
```